[1]
Ni2SeBr: relaxed, GGA-PBE.

a = 7.710 Å, b = 7.710 Å, c = 7.710 Å
α = 154.52°, β = 154.52°, γ = 36.34°
Last column: magnetic moment on the atom in μB.
Fractional coordinates of all 4 atoms:
Se (0.500, 0.500, 0.000)  0.12
Ni (0.000, 0.000, 0.000)  0.41
Ni (0.250, 0.750, 0.500)  0.49
Br (0.750, 0.250, 0.500)  0.05

Computed properties:
energy relative to the elements, uncorrected: 0.282 eV/atom
relative energy among the computed polymorphs: 423 meV/atom


[2]
HAuSN2: relaxed, GGA-PBE.

a = 4.004 Å, b = 4.004 Å, c = 5.443 Å
α = 90.00°, β = 90.00°, γ = 90.00°
Last column: magnetic moment on the atom in μB.
Fractional coordinates of all 5 atoms:
H (0.500, 0.500, 0.500)  0.17
Au (0.000, 0.000, 0.000)  0.28
N (0.000, 0.500, 0.000)  1.13
N (0.500, 0.000, 0.000)  1.13
S (0.000, 0.000, 0.500)  -0.12

Computed properties:
relative energy among the computed polymorphs: 118 meV/atom


[3]
NaPrDy2Hg4: relaxed, GGA-PBE.

a = 5.231 Å, b = 5.231 Å, c = 9.342 Å
α = 73.74°, β = 73.74°, γ = 60.00°
Fractional coordinates of all 8 atoms:
Dy (0.244, 0.244, 0.267)
Dy (0.756, 0.756, 0.733)
Hg (0.874, 0.874, 0.378)
Hg (0.620, 0.620, 0.140)
Hg (0.126, 0.126, 0.622)
Hg (0.380, 0.380, 0.860)
Pr (0.000, 0.000, 0.000)
Na (0.500, 0.500, 0.500)

Computed properties:
calculated formation energy: -0.401 eV per atom


[4]
CsCu4Te3O12: relaxed, GGA-PBE.

a = 7.068 Å, b = 7.068 Å, c = 7.068 Å
α = 107.47°, β = 107.47°, γ = 107.47°
Last column: magnetic moment on the atom in μB.
Fractional coordinates of all 20 atoms:
O (0.042, 0.634, 0.734)  0.03
O (0.102, 0.898, 0.500)  0.02
O (0.958, 0.266, 0.366)  0.03
O (0.266, 0.366, 0.958)  0.03
O (0.634, 0.734, 0.042)  0.03
O (0.500, 0.329, 0.671)  0.01
O (0.898, 0.500, 0.102)  0.02
O (0.329, 0.671, 0.500)  0.01
O (0.500, 0.102, 0.898)  0.02
O (0.734, 0.042, 0.634)  0.03
O (0.671, 0.500, 0.329)  0.01
O (0.366, 0.958, 0.266)  0.03
Cu (0.932, 0.068, 0.500)  0.24
Cu (0.500, 0.932, 0.068)  0.24
Cu (0.068, 0.500, 0.932)  0.24
Cu (0.500, 0.500, 0.500)  0.15
Cs (0.000, 0.000, 0.000)  0.00
Te (0.561, 0.439, 0.000)  -0.01
Te (0.439, 0.000, 0.561)  -0.01
Te (0.000, 0.561, 0.439)  -0.01

Computed properties:
energy relative to the elements, uncorrected: -0.792 eV/atom


[5]
InSbPbAu2: relaxed, GGA-PBE.

a = 4.552 Å, b = 7.868 Å, c = 8.658 Å
α = 62.43°, β = 74.76°, γ = 73.18°
Fractional coordinates of all 10 atoms:
Pb (0.747, 0.821, 0.684)
Pb (0.253, 0.179, 0.316)
Au (0.588, 0.277, 0.548)
Au (0.151, 0.717, 0.981)
Au (0.849, 0.283, 0.019)
Au (0.412, 0.723, 0.452)
In (0.057, 0.122, 0.765)
In (0.943, 0.878, 0.235)
Sb (0.625, 0.556, 0.195)
Sb (0.375, 0.444, 0.805)

Computed properties:
energy relative to the elements, uncorrected: -0.104 eV/atom


[6]
Ba2Mg2Pt: relaxed, GGA-PBE.

a = 6.971 Å, b = 7.454 Å, c = 7.475 Å
α = 104.98°, β = 90.00°, γ = 117.88°
Fractional coordinates of all 10 atoms:
Pt (0.209, 0.000, 0.250)
Pt (0.791, 0.000, 0.750)
Mg (0.995, 0.814, 0.528)
Mg (0.005, 0.186, 0.472)
Mg (0.819, 0.814, 0.028)
Mg (0.181, 0.186, 0.972)
Ba (0.428, 0.701, 0.368)
Ba (0.572, 0.299, 0.632)
Ba (0.273, 0.701, 0.868)
Ba (0.727, 0.299, 0.132)

Computed properties:
relative energy among the computed polymorphs: 0 meV/atom
calculated formation energy: -0.381 eV per atom


[7]
Er3Cu2Ir: relaxed, GGA-PBE.

a = 3.434 Å, b = 3.434 Å, c = 10.287 Å
α = 90.00°, β = 90.00°, γ = 90.00°
Fractional coordinates of all 6 atoms:
Er (0.000, 0.000, 0.660)
Er (0.000, 0.000, 0.000)
Er (0.000, 0.000, 0.340)
Cu (0.500, 0.500, 0.835)
Cu (0.500, 0.500, 0.165)
Ir (0.500, 0.500, 0.500)

Computed properties:
relative energy among the computed polymorphs: 37 meV/atom
calculated formation energy: -0.487 eV per atom


[8]
CrReSbTe2: relaxed, GGA-PBE.

a = 5.286 Å, b = 5.286 Å, c = 5.067 Å
α = 90.00°, β = 90.00°, γ = 90.00°
Last column: magnetic moment on the atom in μB.
Fractional coordinates of all 5 atoms:
Cr (0.500, 0.500, 0.500)  -0.10
Te (0.000, 0.500, 0.000)  -0.04
Te (0.500, 0.000, 0.000)  -0.04
Sb (0.000, 0.000, 0.500)  0.04
Re (0.000, 0.000, 0.000)  -0.03

Computed properties:
energy relative to the elements, uncorrected: 1.504 eV/atom
relative energy among the computed polymorphs: 142 meV/atom


Short version: VASP energy = -0.1432, -0.1172, -0.0906, -0.1874, -0.1297, -0.1101, -0.2062, -0.1834 Ha/atom, in the order given.